{
  "formula": "HfMg4Rh5",
  "functional": "PBE",
  "state": "optimized geometry",
  "cell": [[-1.833, 2.511, 0.645], [-2.572, -1.662, -0.841], [-1.603, -4.939, 14.663]],
  "species": ["Mg", "Rh", "Rh", "Mg", "Mg", "Hf", "Mg", "Rh", "Rh", "Rh"],
  "frac_coords": [[0.000, 0.000, 0.792], [0.500, 0.500, 0.302], [0.500, 0.500, 0.500], [0.000, 0.000, 0.599], [0.000, 0.000, 0.401], [0.000, 0.000, 0.000], [0.000, 0.000, 0.208], [0.500, 0.500, 0.101], [0.500, 0.500, 0.899], [0.500, 0.500, 0.698]],
  "n_ef_per_ev_cell": 5.8,
  "crystal_system": "tetragonal",
  "dft_energy_ev_per_atom": -5.9497,
  "ef_ev_per_atom": -0.64
}